{"formula": "Rb12Au6F", "functional": "PBE-GGA", "state": "relaxed", "e_tot_ev_per_atom": -2.172, "dos_at_fermi_per_ev_atom": 0.705, "crystal_system": "trigonal", "cell": [[9.736, -0.019, -1.509], [-1.759, 9.576, -1.509], [-0.016, -0.019, 9.852]], "species": ["Rb", "Rb", "Au", "Au", "Rb", "Au", "Au", "F", "Rb", "Rb", "Rb", "Rb", "Au", "Rb", "Rb", "Au", "Rb", "Rb", "Rb"], "frac_coords": [[0.019, 0.698, 0.937], [0.422, 0.819, 0.570], [0.125, 0.638, 0.293], [0.362, 0.707, 0.875], [0.181, 0.430, 0.578], [0.638, 0.293, 0.125], [0.293, 0.125, 0.638], [0.000, 0.000, 0.000], [0.698, 0.937, 0.019], [0.063, 0.981, 0.302], [0.819, 0.570, 0.422], [0.937, 0.019, 0.698], [0.707, 0.875, 0.362], [0.981, 0.302, 0.063], [0.302, 0.063, 0.981], [0.875, 0.362, 0.707], [0.570, 0.422, 0.819], [0.578, 0.181, 0.430], [0.430, 0.578, 0.181]]}